Ac2La7Y | PBE | optimized geometry

Unit cell a=5.6570 b=7.3122 c=10.2392 alpha=110.39 beta=106.00 gamma=90.03
Last column: nearest neighbours and their distance in Å.
Space group P-1 (No. 2)
Unique sites:
Ac  0.1993  0.1911  0.3978  9 La 3.49-3.84
La  0.0000  0.0000  0.0000  2 Ac 3.65, 2 Y 3.66, 8 La 3.83-3.85
La  0.1897  0.6825  0.3787  1 Y 3.47, 4 Ac 3.49-3.67, 4 La 3.73-3.75
La  0.3999  0.1569  0.8025  7 La 3.63-3.84, 2 Y 3.81-3.82, 2 Ac 3.83-3.84
La  0.4000  0.6513  0.7986  7 La 3.63-3.85, 2 Ac 3.83-3.84, 2 Y 3.84
Y  0.0000  0.5000  0.0000  12 La 3.47-3.84

Formation energy from the elements   65 meV per atom